An optimized crystal structure of MnTeAuC2, computed with PBE.

VASP energy: -22.4 eV per formula unit

Cell: 3.934 3.934 5.508 Å, 90.00 90.00 90.00°
Fractional positions:
Mn (0.000, 0.000, 0.000)
Te (0.500, 0.500, 0.000)
Au (0.000, 0.000, 0.500)
C (0.000, 0.500, 0.500)
C (0.500, 0.000, 0.500)

***

An optimized crystal structure of Ti2MnAuC, computed with PBE.

Energy of formation from the pure elements: -0.43 eV/atom

Cell: 4.229 4.229 3.765 Å, 90.00 90.00 90.00°
Fractional positions:
Ti (0.000, 0.500, 0.000)
Ti (0.500, 0.000, 0.000)
Mn (0.000, 0.000, 0.500)
Au (0.500, 0.500, 0.500)
C (0.000, 0.000, 0.000)

***

An optimized crystal structure of MnTl2AuC, computed with PBE.

Energy of formation from the pure elements: 1.19 eV/atom

Cell: 5.955 5.955 3.811 Å, 90.00 90.00 90.00°
Fractional positions:
Mn (0.000, 0.000, 0.000)
Tl (0.000, 0.500, 0.500)
Tl (0.500, 0.000, 0.500)
Au (0.500, 0.500, 0.500)
C (0.500, 0.500, 0.000)

***

An optimized crystal structure of Y2MnAuC, computed with PBE.

Energy of formation from the pure elements: -0.46 eV/atom

Cell: 5.009 5.009 3.790 Å, 90.00 90.00 90.00°
Fractional positions:
Y (0.000, 0.500, 0.000)
Y (0.500, 0.000, 0.000)
Mn (0.000, 0.000, 0.500)
Au (0.500, 0.500, 0.500)
C (0.000, 0.000, 0.000)

***

An optimized crystal structure of MoAu2C, computed with PBE.

Energy of formation from the pure elements: 1.11 eV/atom

Cell: 7.795 7.795 4.267 Å, 90.00 90.00 90.00°
Fractional positions:
Mo (0.000, 0.000, 0.000)
Mo (0.000, 0.500, 0.250)
Mo (0.500, 0.000, 0.750)
Mo (0.500, 0.500, 0.500)
Au (0.142, 0.250, 0.625)
Au (0.250, 0.642, 0.875)
Au (0.250, 0.858, 0.375)
Au (0.358, 0.250, 0.125)
Au (0.642, 0.750, 0.125)
Au (0.750, 0.142, 0.375)
Au (0.750, 0.358, 0.875)
Au (0.858, 0.750, 0.625)
C (0.000, 0.000, 0.500)
C (0.000, 0.500, 0.750)
C (0.500, 0.000, 0.250)
C (0.500, 0.500, 0.000)

***

An optimized crystal structure of MoAuC3, computed with PBE.

Energy of formation from the pure elements: 2.13 eV/atom

Cell: 4.120 4.120 4.120 Å, 90.00 90.00 90.00°
Fractional positions:
Mo (0.000, 0.000, 0.000)
Au (0.500, 0.500, 0.500)
C (0.000, 0.000, 0.500)
C (0.000, 0.500, 0.000)
C (0.500, 0.000, 0.000)

***

An optimized crystal structure of MoAuC2, computed with PBE.

Energy of formation from the pure elements: 0.98 eV/atom

Cell: 4.886 4.886 9.459 Å, 90.00 90.00 90.00°
Fractional positions:
Mo (0.000, 0.000, 0.000)
Mo (0.000, 0.500, 0.250)
Mo (0.500, 0.000, 0.750)
Mo (0.500, 0.500, 0.500)
Au (0.000, 0.000, 0.500)
Au (0.000, 0.500, 0.750)
Au (0.500, 0.000, 0.250)
Au (0.500, 0.500, 0.000)
C (0.211, 0.250, 0.125)
C (0.250, 0.711, 0.375)
C (0.250, 0.789, 0.875)
C (0.289, 0.250, 0.625)
C (0.711, 0.750, 0.625)
C (0.750, 0.211, 0.875)
C (0.750, 0.289, 0.375)
C (0.789, 0.750, 0.125)

***

An optimized crystal structure of MoAu2C, computed with PBE.

Energy of formation from the pure elements: 1.76 eV/atom

Cell: 6.312 6.312 6.312 Å, 90.00 90.00 90.00°
Fractional positions:
Mo (0.000, 0.000, 0.000)
Mo (0.000, 0.500, 0.500)
Mo (0.500, 0.000, 0.500)
Mo (0.500, 0.500, 0.000)
Au (0.250, 0.250, 0.250)
Au (0.250, 0.250, 0.750)
Au (0.250, 0.750, 0.250)
Au (0.250, 0.750, 0.750)
Au (0.750, 0.250, 0.250)
Au (0.750, 0.250, 0.750)
Au (0.750, 0.750, 0.250)
Au (0.750, 0.750, 0.750)
C (0.000, 0.000, 0.500)
C (0.000, 0.500, 0.000)
C (0.500, 0.000, 0.000)
C (0.500, 0.500, 0.500)

***

An optimized crystal structure of MoAuC3, computed with PBE.

Energy of formation from the pure elements: 3.19 eV/atom

Cell: 4.011 4.011 4.011 Å, 90.00 90.00 90.00°
Fractional positions:
Mo (0.000, 0.000, 0.000)
Au (0.500, 0.500, 0.500)
C (0.000, 0.500, 0.500)
C (0.500, 0.000, 0.500)
C (0.500, 0.500, 0.000)

***

An optimized crystal structure of MoAuC2, computed with PBE.

Energy of formation from the pure elements: 1.79 eV/atom

Cell: 5.618 5.618 5.618 Å, 90.00 90.00 90.00°
Fractional positions:
Mo (0.000, 0.000, 0.000)
Mo (0.000, 0.500, 0.500)
Mo (0.500, 0.000, 0.500)
Mo (0.500, 0.500, 0.000)
Au (0.000, 0.000, 0.500)
Au (0.000, 0.500, 0.000)
Au (0.500, 0.000, 0.000)
Au (0.500, 0.500, 0.500)
C (0.250, 0.250, 0.250)
C (0.250, 0.250, 0.750)
C (0.250, 0.750, 0.250)
C (0.250, 0.750, 0.750)
C (0.750, 0.250, 0.250)
C (0.750, 0.250, 0.750)
C (0.750, 0.750, 0.250)
C (0.750, 0.750, 0.750)

***

An optimized crystal structure of NbMoAuC2, computed with PBE.

Energy of formation from the pure elements: 2.60 eV/atom

Cell: 3.933 3.933 5.416 Å, 90.00 90.00 90.00°
Fractional positions:
Nb (0.000, 0.000, 0.000)
Mo (0.500, 0.500, 0.000)
Au (0.500, 0.500, 0.500)
C (0.000, 0.500, 0.500)
C (0.500, 0.000, 0.500)

***

An optimized crystal structure of NiMo2AuC, computed with PBE.

Energy of formation from the pure elements: 1.36 eV/atom

Cell: 4.753 4.753 3.389 Å, 90.00 90.00 90.00°
Fractional positions:
Ni (0.000, 0.000, 0.000)
Mo (0.000, 0.500, 0.000)
Mo (0.500, 0.000, 0.000)
Au (0.500, 0.500, 0.500)
C (0.000, 0.000, 0.500)

***

An optimized crystal structure of MoAuCS2, computed with PBE.

VASP energy: -17.9 eV per formula unit

Cell: 4.700 4.700 5.151 Å, 90.00 90.00 90.00°
Fractional positions:
Mo (0.000, 0.000, 0.000)
Au (0.000, 0.000, 0.500)
C (0.500, 0.500, 0.000)
S (0.000, 0.500, 0.500)
S (0.500, 0.000, 0.500)

***

An optimized crystal structure of SiMo2AuC, computed with PBE.

VASP energy: -37.4 eV per formula unit

Cell: 4.297 4.297 3.730 Å, 90.00 90.00 90.00°
Fractional positions:
Si (0.000, 0.000, 0.000)
Mo (0.000, 0.500, 0.500)
Mo (0.500, 0.000, 0.500)
Au (0.500, 0.500, 0.000)
C (0.000, 0.000, 0.500)

***

An optimized crystal structure of Au3CN, computed with PBE.

VASP energy: -18.8 eV per formula unit

Cell: 4.323 4.323 4.323 Å, 90.00 90.00 90.00°
Fractional positions:
Au (0.000, 0.000, 0.500)
Au (0.000, 0.500, 0.000)
Au (0.500, 0.000, 0.000)
C (0.000, 0.000, 0.000)
N (0.500, 0.500, 0.500)

***

An optimized crystal structure of AuC2N3, computed with PBE.

VASP energy: -43.9 eV per formula unit

Cell: 8.955 8.955 6.761 Å, 93.94 93.94 87.65°
Fractional positions:
Au (0.120, 0.880, 0.750)
Au (0.371, 0.629, 0.750)
Au (0.629, 0.371, 0.250)
Au (0.880, 0.120, 0.250)
C (0.068, 0.694, 0.097)
C (0.184, 0.577, 0.361)
C (0.306, 0.932, 0.403)
C (0.423, 0.816, 0.139)
C (0.577, 0.184, 0.861)
C (0.694, 0.068, 0.597)
C (0.816, 0.423, 0.639)
C (0.932, 0.306, 0.903)
N (0.045, 0.786, 0.981)
N (0.080, 0.591, 0.221)
N (0.214, 0.955, 0.519)
N (0.276, 0.553, 0.489)
N (0.409, 0.920, 0.279)
N (0.447, 0.724, 0.011)
N (0.553, 0.276, 0.989)
N (0.591, 0.080, 0.721)
N (0.724, 0.447, 0.511)
N (0.786, 0.045, 0.481)
N (0.920, 0.409, 0.779)
N (0.955, 0.214, 0.019)

***

An optimized crystal structure of AuC2N, computed with PBE.

VASP energy: -22.8 eV per formula unit

Cell: 4.563 4.563 7.272 Å, 90.00 90.00 90.00°
Fractional positions:
Au (0.000, 0.000, 0.000)
Au (0.000, 0.500, 0.250)
Au (0.500, 0.000, 0.750)
Au (0.500, 0.500, 0.500)
C (0.157, 0.250, 0.625)
C (0.250, 0.657, 0.875)
C (0.250, 0.843, 0.375)
C (0.343, 0.250, 0.125)
C (0.657, 0.750, 0.125)
C (0.750, 0.157, 0.375)
C (0.750, 0.343, 0.875)
C (0.843, 0.750, 0.625)
N (0.000, 0.000, 0.500)
N (0.000, 0.500, 0.750)
N (0.500, 0.000, 0.250)
N (0.500, 0.500, 0.000)

***

An optimized crystal structure of AuC2N3, computed with PBE.

VASP energy: -44.2 eV per formula unit

Cell: 3.864 3.864 25.067 Å, 90.00 90.00 120.00°
Fractional positions:
Au (0.000, 0.157, 0.167)
Au (0.157, 0.000, 0.833)
Au (0.843, 0.843, 0.500)
C (0.044, 0.746, 0.713)
C (0.254, 0.298, 0.046)
C (0.298, 0.254, 0.954)
C (0.702, 0.956, 0.380)
C (0.746, 0.044, 0.287)
C (0.956, 0.702, 0.620)
N (0.000, 0.586, 0.667)
N (0.087, 0.852, 0.758)
N (0.148, 0.234, 0.091)
N (0.234, 0.148, 0.909)
N (0.414, 0.414, 0.000)
N (0.586, 0.000, 0.333)
N (0.766, 0.913, 0.424)
N (0.852, 0.087, 0.242)
N (0.913, 0.766, 0.576)

***

An optimized crystal structure of AuCNO2, computed with PBE.

VASP energy: -24.6 eV per formula unit

Cell: 4.563 4.563 2.489 Å, 90.00 90.00 90.00°
Fractional positions:
Au (0.000, 0.000, 0.000)
C (0.500, 0.500, 0.500)
N (0.500, 0.500, 0.000)
O (0.000, 0.500, 0.500)
O (0.500, 0.000, 0.500)

***

An optimized crystal structure of AuCN2O, computed with PBE.

VASP energy: -18.0 eV per formula unit

Cell: 3.987 3.987 4.090 Å, 90.00 90.00 90.00°
Fractional positions:
Au (0.000, 0.000, 0.000)
C (0.500, 0.500, 0.500)
N (0.000, 0.500, 0.000)
N (0.500, 0.000, 0.000)
O (0.000, 0.000, 0.500)